1.
{"formula": "InRe2Pd", "functional": "GGA-PBE", "state": "optimized geometry", "e_tot_ev_per_atom": -7.7637, "lattice": [[0.000, 3.188, 3.188], [3.188, 0.000, 3.188], [3.188, 3.188, 0.000]], "species": ["In", "Re", "Re", "Pd"], "frac_coords": [[0.000, 0.000, 0.000], [0.500, 0.500, 0.500], [0.750, 0.750, 0.750], [0.250, 0.250, 0.250]]}

***

2.
{"formula": "BeNbTcPb", "functional": "GGA-PBE", "state": "optimized geometry", "de_polymorph_kj_per_mol_atoms": 18.79, "lattice": [[0.000, 3.206, 3.206], [3.206, 0.000, 3.206], [3.206, 3.206, 0.000]], "species": ["Be", "Nb", "Tc", "Pb"], "frac_coords": [[0.000, 0.000, 0.000], [0.250, 0.250, 0.250], [0.750, 0.750, 0.750], [0.500, 0.500, 0.500]]}

***

3.
{"formula": "LaTaBeFe", "functional": "GGA-PBE", "state": "optimized geometry", "de_polymorph_kj_per_mol_atoms": 9.36, "lattice": [[0.000, 3.212, 3.212], [3.212, 0.000, 3.212], [3.212, 3.212, 0.000]], "species": ["La", "Ta", "Be", "Fe"], "frac_coords": [[0.000, 0.000, 0.000], [0.250, 0.250, 0.250], [0.750, 0.750, 0.750], [0.500, 0.500, 0.500]]}

***

4.
{"formula": "LaSmFe2Ge4", "functional": "GGA-PBE", "state": "optimized geometry", "e_tot_ev_per_atom": -6.1524, "lattice": [[4.424, 0.000, 0.000], [0.000, 4.270, 0.000], [-2.063, 0.000, 8.029]], "species": ["La", "Sm", "Fe", "Fe", "Ge", "Ge", "Ge", "Ge"], "frac_coords": [[0.000, 0.000, 0.000], [0.755, 0.500, 0.580], [0.258, 0.000, 0.401], [0.499, 0.500, 0.183], [0.066, 0.500, 0.294], [0.312, 0.000, 0.688], [0.444, 0.500, 0.891], [0.693, 0.000, 0.294]]}